# 1
{"formula": "BaPaTiO6", "functional": "PBE-GGA", "state": "optimized geometry", "e_tot_ev_per_atom": -8.239, "lattice": [[5.702, 0.000, 0.000], [-2.851, 4.938, 0.000], [0.000, 0.000, 4.917]], "species": ["Ba", "Pa", "Ti", "O", "O", "O", "O", "O", "O"], "frac_coords": [[0.000, 0.000, 0.000], [0.667, 0.333, 0.500], [0.333, 0.667, 0.000], [0.017, 0.429, 0.238], [0.017, 0.588, 0.762], [0.412, 0.429, 0.762], [0.412, 0.983, 0.238], [0.571, 0.588, 0.238], [0.571, 0.983, 0.762]]}

# 2
{"formula": "AsCl", "functional": "PBE-GGA", "state": "optimized geometry", "e_tot_ev_per_atom": -3.652, "lattice": [[11.510, 0.000, 0.000], [0.000, 3.694, 0.000], [-0.707, 0.000, 6.145]], "species": ["As", "As", "As", "As", "Cl", "Cl", "Cl", "Cl"], "frac_coords": [[0.215, 0.000, 0.367], [0.285, 0.500, 0.633], [0.715, 0.500, 0.367], [0.785, 0.000, 0.633], [0.120, 0.500, 0.790], [0.380, 0.000, 0.210], [0.620, 0.000, 0.790], [0.880, 0.500, 0.210]]}

# 3
{"formula": "Pm2SmTmAs4", "functional": "PBE-GGA", "state": "optimized geometry", "e_tot_ev_per_atom": -6.175, "lattice": [[7.255, 0.000, 0.000], [0.000, 4.193, 0.000], [-2.419, 0.000, 6.841]], "species": ["Pm", "Pm", "Sm", "Tm", "As", "As", "As", "As"], "frac_coords": [[0.000, 0.000, 0.000], [0.000, 0.500, 0.500], [0.500, 0.000, 0.500], [0.500, 0.500, 0.000], [0.255, 0.500, 0.247], [0.258, 0.000, 0.757], [0.742, 0.000, 0.243], [0.745, 0.500, 0.753]]}

# 4
{"formula": "ZnCu2Mo", "functional": "PBE-GGA", "state": "optimized geometry", "e_tot_ev_per_atom": -4.747, "lattice": [[6.015, 0.000, 0.000], [0.000, 6.015, 0.000], [0.000, 0.000, 6.015]], "species": ["Zn", "Zn", "Zn", "Zn", "Cu", "Cu", "Cu", "Cu", "Cu", "Cu", "Cu", "Cu", "Mo", "Mo", "Mo", "Mo"], "frac_coords": [[0.000, 0.000, 0.000], [0.000, 0.500, 0.500], [0.500, 0.000, 0.500], [0.500, 0.500, 0.000], [0.000, 0.000, 0.500], [0.000, 0.500, 0.000], [0.250, 0.250, 0.750], [0.250, 0.750, 0.250], [0.500, 0.000, 0.000], [0.500, 0.500, 0.500], [0.750, 0.250, 0.250], [0.750, 0.750, 0.750], [0.250, 0.250, 0.250], [0.250, 0.750, 0.750], [0.750, 0.250, 0.750], [0.750, 0.750, 0.250]]}

# 5
{"formula": "Ca2NiW", "functional": "PBE-GGA", "state": "optimized geometry", "e_above_lowest_polymorph_ev_per_atom": 0.543, "lattice": [[5.456, 0.000, 0.000], [0.000, 2.884, 0.000], [-2.653, 0.000, 5.221]], "species": ["Ca", "Ca", "Ni", "W"], "frac_coords": [[0.000, 0.000, 0.000], [0.000, 0.500, 0.500], [0.500, 0.000, 0.500], [0.500, 0.500, 0.000]]}

# 6
{"formula": "Nd6Ni2AuBr3", "functional": "PBE-GGA", "state": "optimized geometry", "e_tot_ev_per_atom": -4.887, "lattice": [[9.745, -2.077, 0.000], [9.745, 2.077, 0.000], [-3.123, 0.000, 8.570]], "species": ["Nd", "Nd", "Nd", "Nd", "Nd", "Nd", "Ni", "Ni", "Au", "Br", "Br", "Br"], "frac_coords": [[0.020, 0.020, 0.246], [0.318, 0.318, 0.442], [0.339, 0.339, 0.878], [0.661, 0.661, 0.122], [0.682, 0.682, 0.558], [0.980, 0.980, 0.754], [0.168, 0.168, 0.338], [0.832, 0.832, 0.662], [0.500, 0.500, 0.000], [0.165, 0.165, 0.834], [0.500, 0.500, 0.500], [0.835, 0.835, 0.166]]}

# 7
{"formula": "La2SiRu", "functional": "PBE-GGA", "state": "optimized geometry", "e_tot_ev_per_atom": -6.682, "lattice": [[3.924, 0.000, 0.000], [0.000, 4.433, 0.000], [0.000, 0.000, 11.508]], "species": ["La", "La", "La", "La", "Si", "Si", "Ru", "Ru"], "frac_coords": [[0.000, 0.000, 0.000], [0.000, 0.500, 0.500], [0.500, 0.000, 0.274], [0.500, 0.500, 0.774], [0.500, 0.000, 0.586], [0.500, 0.500, 0.086], [0.000, 0.000, 0.717], [0.000, 0.500, 0.217]]}

# 8
{"formula": "CoSb2P2", "functional": "PBE-GGA", "state": "optimized geometry", "e_above_lowest_polymorph_ev_per_atom": 0.000, "lattice": [[5.864, 0.000, 0.000], [0.000, 5.864, 0.000], [0.000, 0.000, 5.675]], "species": ["Co", "Co", "Sb", "Sb", "Sb", "Sb", "P", "P", "P", "P"], "frac_coords": [[0.000, 0.000, 0.000], [0.500, 0.500, 0.000], [0.188, 0.312, 0.500], [0.312, 0.812, 0.500], [0.688, 0.188, 0.500], [0.812, 0.688, 0.500], [0.140, 0.360, 0.000], [0.360, 0.860, 0.000], [0.640, 0.140, 0.000], [0.860, 0.640, 0.000]]}